First-principles (PBE) data for a geometry-optimized KZr5S8 structure, as listed in Alexandria via LeMat-Bulk.

```
KZr5S8
1.0
9.338 -1.816 0.000
9.338 1.816 0.000
-2.387 0.000 9.209
K Zr S
1 5 8
Cartesian
0.000 0.000 0.000 K
1.914 0.000 4.518 Zr
1.838 0.000 7.835 Zr
8.145 0.000 4.604 Zr
14.451 0.000 1.374 Zr
14.376 0.000 4.690 Zr
-0.153 0.000 6.113 S
4.049 0.000 3.009 S
6.358 0.000 0.033 S
6.091 0.000 6.207 S
10.199 0.000 3.002 S
9.931 0.000 9.176 S
12.240 0.000 6.199 S
16.442 0.000 3.096 S
```

Summary:
As for the uncorrected energy: -7.069 eV per atom. As for the density of states at the Fermi level: 6.4 states/eV/cell. The space group is No. 12. The uncorrected formation energy comes out at -36.4 kcal/mol of atoms.